# 1
{"formula": "V2MoOs", "functional": "meta-GGA SCAN", "state": "single point on PBEsol structure", "lattice": [[4.254, 0.000, 0.000], [2.127, 3.684, 0.000], [2.127, 1.228, 3.473]], "species": ["Os", "V", "Mo", "V"], "fractional_positions": [[0.000, 0.000, 0.000], [0.750, 0.750, 0.750], [0.500, 0.500, 0.500], [0.250, 0.250, 0.250]], "delta_e_f_ev_per_atom": -0.44, "sg": "Fm-3m"}



# 2
{"formula": "MgZnNi2Au", "functional": "meta-GGA SCAN", "state": "single point on PBEsol structure", "lattice": [[4.652, 0.000, 0.000], [0.000, 4.652, 0.000], [0.000, 0.000, 4.754]], "species": ["Zn", "Ni", "Au", "Mg", "Ni"], "fractional_positions": [[0.500, 0.500, 0.500], [0.000, 0.500, 0.000], [0.000, 0.000, 0.000], [0.000, 0.000, 0.500], [0.500, 0.000, 0.000]], "delta_e_f_ev_per_atom": 0.78, "sg": "P4/mmm"}



# 3
{"formula": "NaOsS2", "functional": "meta-GGA SCAN", "state": "single point on PBEsol structure", "lattice": [[2.917, 0.000, 0.000], [1.458, 2.526, 0.000], [1.458, 0.842, 8.630]], "species": ["S", "S", "Os", "Na"], "fractional_positions": [[0.915, 0.915, 0.256], [0.085, 0.085, 0.744], [0.000, 0.000, 0.000], [0.500, 0.500, 0.500]], "sg": "R-3m", "formation_energy_uncorrected_ev_per_atom": 0.18}